(1)
# K12Sb3Au5 (PBE, optimized geometry)
data_K12Sb3Au5
_cell_length_a 19.8819
_cell_length_b 19.8819
_cell_length_c 19.8819
_cell_angle_alpha 90.00
_cell_angle_beta 90.00
_cell_angle_gamma 90.00
_symmetry_space_group_name_H-M 'I a -3 d'
_symmetry_Int_Tables_number 230
_symmetry_space_group_name_Hall '-I 4bd 2c 3'
loop_
_atom_site_label
_atom_site_type_symbol
_atom_site_fract_x
_atom_site_fract_y
_atom_site_fract_z
_atom_site_occupancy
K1 K 0.0180 0.0702 0.6538 1
Sb1 Sb 0.0000 0.2500 0.1250 1
Au1 Au 0.0000 0.0000 0.0000 1
Au2 Au 0.0000 0.2500 0.3750 1
# - E_form (uncorrected) (kJ/mol of formula units) = -448.2
# - calculated density (g/cm³) = 3.075
# - magnetization (μB per cell) = 17.38
# - DOS at the Fermi energy (states/eV/f.u.) = 14.7

***

(2)
# KSbAu2 (PBE, optimized geometry)
data_KSbAu2
_cell_length_a 3.0107
_cell_length_b 4.3482
_cell_length_c 7.7632
_cell_angle_alpha 90.00
_cell_angle_beta 90.00
_cell_angle_gamma 90.00
_symmetry_space_group_name_H-M 'P m m m'
_symmetry_Int_Tables_number 47
_symmetry_space_group_name_Hall '-P 2 2'
loop_
_atom_site_label
_atom_site_type_symbol
_atom_site_fract_x
_atom_site_fract_y
_atom_site_fract_z
_atom_site_occupancy
K1 K 0.0000 0.0000 0.0000 1
Sb1 Sb 0.0000 0.0000 0.5000 1
Au1 Au 0.5000 0.5000 0.2962 1
# - E_form (uncorrected) (kJ/mol of formula units) = -22.3
# - calculated density (g/cm³) = 9.065
# - magnetization (μB per cell) = 0.00
# - DOS at the Fermi energy (states/eV/f.u.) = 1.1

***

(3)
# KSb2Au3 (PBE, optimized geometry)
data_KSb2Au3
_cell_length_a 21.2823
_cell_length_b 4.7593
_cell_length_c 7.0586
_cell_angle_alpha 90.00
_cell_angle_beta 108.75
_cell_angle_gamma 90.00
_symmetry_space_group_name_H-M 'C 1 2/m 1'
_symmetry_Int_Tables_number 12
_symmetry_space_group_name_Hall '-C 2y'
loop_
_atom_site_label
_atom_site_type_symbol
_atom_site_fract_x
_atom_site_fract_y
_atom_site_fract_z
_atom_site_occupancy
K1 K 0.1027 0.0000 0.4616 1
Sb1 Sb 0.0182 0.5000 0.8187 1
Sb2 Sb 0.2276 0.0000 0.1737 1
Au1 Au 0.0846 0.0000 0.9087 1
Au2 Au 0.1596 0.5000 0.9321 1
Au3 Au 0.2320 0.5000 0.3871 1
# - E_form (uncorrected) (kJ/mol of formula units) = -142.1
# - relative energy among the computed polymorphs (meV per atom) = 0.0
# - calculated density (g/cm³) = 8.570
# - magnetization (μB per cell) = 0.00
# - DOS at the Fermi energy (states/eV/f.u.) = 2.0

***

(4)
# KSb2Au (PBE, optimized geometry)
data_KSb2Au
_cell_length_a 5.2833
_cell_length_b 5.2833
_cell_length_c 19.5097
_cell_angle_alpha 90.00
_cell_angle_beta 90.00
_cell_angle_gamma 90.00
_symmetry_space_group_name_H-M 'I -4 2 d'
_symmetry_Int_Tables_number 122
_symmetry_space_group_name_Hall 'I -4 2bw'
loop_
_atom_site_label
_atom_site_type_symbol
_atom_site_fract_x
_atom_site_fract_y
_atom_site_fract_z
_atom_site_occupancy
K1 K 0.0000 0.0000 0.0000 1
Sb1 Sb 0.1309 0.2500 0.6250 1
Au1 Au 0.0000 0.0000 0.5000 1
# - E_form (uncorrected) (kJ/mol of formula units) = -48.7
# - relative energy among the computed polymorphs (meV per atom) = 185.9
# - calculated density (g/cm³) = 5.850
# - magnetization (μB per cell) = 0.00
# - DOS at the Fermi energy (states/eV/f.u.) = 1.2